(1)
# CdSn2Sb (GGA-PBE, optimized geometry)
data_CdSn2Sb
_cell_length_a 5.2884
_cell_length_b 5.2884
_cell_length_c 21.2240
_cell_angle_alpha 90.00
_cell_angle_beta 90.00
_cell_angle_gamma 120.00
_symmetry_space_group_name_H-M 'R -3 m'
_symmetry_Int_Tables_number 166
_symmetry_space_group_name_Hall '-R 3 2"'
loop_
_atom_site_label
_atom_site_type_symbol
_atom_site_fract_x
_atom_site_fract_y
_atom_site_fract_z
Cd1 Cd 0.0000 0.0000 0.0000
Sn1 Sn 0.0000 0.0000 0.1348
Sb1 Sb 0.0000 0.0000 0.5000
# energy above the most stable polymorph in this dataset	212.0	meV per atom
# uncorrected energy	-2.967	eV per atom
# formation energy (no corrections)	0.294	eV/atom



(2)
# Ca2HfTiHg (GGA-PBE, optimized geometry)
data_Ca2HfTiHg
_cell_length_a 5.885
_cell_length_b 5.885
_cell_length_c 4.773
_cell_angle_alpha 90.00
_cell_angle_beta 90.00
_cell_angle_gamma 90.00
_symmetry_space_group_name_H-M 'P 4/m m m'
_symmetry_Int_Tables_number 123
_symmetry_space_group_name_Hall '-P 4 2'
loop_
_atom_site_label
_atom_site_type_symbol
_atom_site_fract_x
_atom_site_fract_y
_atom_site_fract_z
Ca1 Ca 0.000 0.500 0.000
Hf1 Hf 0.000 0.000 0.000
Ti1 Ti 0.000 0.000 0.500
Hg1 Hg 0.500 0.500 0.500
# uncorrected energy	-3.550	eV per atom



(3)
# LiBe3B (GGA-PBE, optimized geometry)
data_LiBe3B
_cell_length_a 3.685
_cell_length_b 3.685
_cell_length_c 3.685
_cell_angle_alpha 90.00
_cell_angle_beta 90.00
_cell_angle_gamma 90.00
_symmetry_space_group_name_H-M 'P m -3 m'
_symmetry_Int_Tables_number 221
_symmetry_space_group_name_Hall '-P 4 2 3'
loop_
_atom_site_label
_atom_site_type_symbol
_atom_site_fract_x
_atom_site_fract_y
_atom_site_fract_z
Li1 Li 0.000 0.000 0.000
Be1 Be 0.000 0.000 0.500
B1 B 0.500 0.500 0.500
# energy above the most stable polymorph in this dataset	1495.8	meV per atom
# uncorrected energy	-2.307	eV per atom